Entry 1:
Compound: Ac4Cu5As7
Source: Alexandria via LeMat-Bulk
Functional: PBE
Structure: relaxed

abc: 11.4521 11.4521 11.4521
angles: 150.69 150.69 41.93
With the nearest neighbours (Å) after each atom.
Fractional positions:
Ac  0.1252  0.6322  0.0000  7 As 3.16-3.31, 5 Cu 3.32-3.46
Ac  0.3678  0.3678  0.4930  7 As 3.16-3.31, 5 Cu 3.32-3.46
Ac  0.6322  0.1252  0.0000  7 As 3.16-3.31, 5 Cu 3.32-3.46
Ac  0.8748  0.8748  0.5070  7 As 3.16-3.31, 5 Cu 3.32-3.46
Cu  0.2493  0.2493  0.0000  4 As 2.52-2.53
Cu  0.2500  0.7500  0.5000  4 As 2.53
Cu  0.5000  0.5000  0.0000  4 As 2.90
Cu  0.7500  0.2500  0.5000  4 As 2.53
Cu  0.7507  0.7507  0.0000  4 As 2.52-2.53
As  0.0000  0.0000  0.0000  4 As 2.90
As  0.0000  0.5000  0.5000  2 As 2.90, 2 Cu 2.90
As  0.0712  0.0712  0.5043  4 Cu 2.52-2.53
As  0.4331  0.9288  0.0000  4 Cu 2.52-2.53
As  0.5000  0.0000  0.5000  2 As 2.90, 2 Cu 2.90
As  0.5669  0.5669  0.4957  4 Cu 2.52-2.53
As  0.9288  0.4331  0.0000  4 Cu 2.52-2.53

symmetry = I-42m (121)
ΔE_f = -0.711 eV per atom
calculated volume = 359 Å³ per cell



Entry 2:
Compound: Pm2Dy8Ho
Source: Alexandria via LeMat-Bulk
Functional: PBE
Structure: relaxed

abc: 8.8991 8.8991 6.6619
angles: 99.66 99.66 43.89
With the nearest neighbours (Å) after each atom.
Fractional positions:
Pm  0.1993  0.1993  0.2978  7 Dy 3.34-3.70
Pm  0.8007  0.8007  0.7022  7 Dy 3.34-3.70
Dy  0.1746  0.6495  0.0951  5 Dy 3.16-3.49, 1 Ho 3.32, 1 Pm 3.40
Dy  0.2436  0.2436  0.8065  5 Dy 3.27-3.46, 4 Pm 3.34-3.56
Dy  0.3505  0.8254  0.9049  5 Dy 3.16-3.49, 1 Ho 3.32, 1 Pm 3.40
Dy  0.4118  0.4118  0.5934  8 Dy 3.34-3.70, 1 Pm 3.70, 2 Ho 3.73
Dy  0.5882  0.5882  0.4066  8 Dy 3.34-3.70, 1 Pm 3.70, 2 Ho 3.73
Dy  0.6495  0.1746  0.0951  5 Dy 3.16-3.49, 1 Ho 3.32, 1 Pm 3.40
Dy  0.7564  0.7564  0.1935  5 Dy 3.27-3.46, 4 Pm 3.34-3.56
Dy  0.8254  0.3505  0.9049  5 Dy 3.16-3.49, 1 Ho 3.32, 1 Pm 3.40
Ho  0.0000  0.0000  0.5000  4 Dy 3.32

ΔE to the lowest computed polymorph = 143 meV/atom
symmetry = C2/m (12)
ΔE_f = 0.162 eV per atom
calculated volume = 360 Å³ per cell



Entry 3:
Compound: Be2HgBr6
Source: Alexandria via LeMat-Bulk
Functional: PBE
Structure: relaxed

abc: 9.8052 9.8052 6.3306
angles: 106.96 106.96 91.15
With the nearest neighbours (Å) after each atom.
Fractional positions:
Be  0.1456  0.2930  0.3114  4 Br 2.18-2.24
Be  0.2930  0.1456  0.8114  4 Br 2.18-2.24
Be  0.7070  0.8544  0.1886  4 Br 2.18-2.24
Be  0.8544  0.7070  0.6886  4 Br 2.18-2.24
Hg  0.2806  0.7194  0.7500  4 Br 2.65-2.75
Hg  0.7194  0.2806  0.2500  4 Br 2.65-2.75
Br  0.0652  0.6706  0.9027  1 Be 2.22
Br  0.1103  0.2307  0.6005  2 Be 2.20-2.24
Br  0.2307  0.1103  0.1005  2 Be 2.20-2.24
Br  0.2960  0.4822  0.3994  1 Be 2.18
Br  0.3294  0.9348  0.5973  1 Be 2.22
Br  0.4822  0.2960  0.8994  1 Be 2.18
Br  0.5178  0.7040  0.1006  1 Be 2.18
Br  0.6706  0.0652  0.4027  1 Be 2.22
Br  0.7040  0.5178  0.6006  1 Be 2.18
Br  0.7693  0.8897  0.8995  2 Be 2.20-2.24
Br  0.8897  0.7693  0.3995  2 Be 2.20-2.24
Br  0.9348  0.3294  0.0973  1 Be 2.22

formation energy without anion corrections = -0.7946 eV per atom
symmetry = C2/c (15)
calculated volume = 553 Å³ per cell



Entry 4:
Compound: Fe2MoPt8
Source: Alexandria via LeMat-Bulk
Functional: PBE
Structure: relaxed

abc: 7.3295 7.3295 6.2533
angles: 106.02 106.02 31.13
With the nearest neighbours (Å) after each atom.
Fractional positions:
Fe  0.2222  0.2222  0.1390  10 Pt 2.66-2.78, 2 Fe 2.88
Fe  0.7778  0.7778  0.8610  10 Pt 2.66-2.78, 2 Fe 2.88
Mo  0.5000  0.5000  0.5000  12 Pt 2.77-2.78
Pt  0.0449  0.0449  0.2294  1 Fe 2.72, 9 Pt 2.77-2.88, 2 Mo 2.78
Pt  0.1385  0.1385  0.6876  7 Pt 2.71-2.79, 3 Fe 2.73-2.77, 2 Mo 2.78
Pt  0.3182  0.3182  0.5850  3 Fe 2.73-2.78, 8 Pt 2.74-2.80, 1 Mo 2.77
Pt  0.3996  0.3996  0.0493  3 Fe 2.66-2.72, 7 Pt 2.71-2.88, 1 Mo 2.77
Pt  0.6004  0.6004  0.9507  3 Fe 2.66-2.72, 7 Pt 2.71-2.88, 1 Mo 2.77
Pt  0.6818  0.6818  0.4150  3 Fe 2.73-2.78, 8 Pt 2.74-2.80, 1 Mo 2.77
Pt  0.8615  0.8615  0.3124  7 Pt 2.71-2.79, 3 Fe 2.73-2.77, 2 Mo 2.78
Pt  0.9551  0.9551  0.7706  1 Fe 2.72, 9 Pt 2.77-2.88, 2 Mo 2.78

symmetry = C2/m (12)
ΔE_f = -0.229 eV per atom
calculated volume = 166 Å³ per cell



Entry 5:
Compound: Cu2PCl
Source: Alexandria via LeMat-Bulk
Functional: PBE
Structure: relaxed

abc: 2.9918 3.6223 7.7063
angles: 90.00 90.00 90.00
With the nearest neighbours (Å) after each atom.
Fractional positions:
Cu  0.0000  0.0000  0.0000  4 Cl 2.35
Cu  0.5000  0.0000  0.5000  4 P 2.35
P  0.0000  0.5000  0.5000  4 Cu 2.35
Cl  0.5000  0.5000  0.0000  4 Cu 2.35

formation energy without anion corrections = 0.2312 eV per atom
ΔE to the lowest computed polymorph = 327 meV/atom
symmetry = Pmmm (47)
calculated volume = 84 Å³ per cell



Entry 6:
Compound: BaBe2Ru
Source: Alexandria via LeMat-Bulk
Functional: PBE
Structure: relaxed

abc: 4.7599 4.7599 15.1073
angles: 90.00 90.00 90.00
With the nearest neighbours (Å) after each atom.
Fractional positions:
Ba  0.0000  0.2500  0.3750  8 Be 3.26, 4 Ru 3.37
Ba  0.0000  0.7500  0.6250  8 Be 3.26, 4 Ru 3.37
Ba  0.5000  0.2500  0.1250  8 Be 3.26, 4 Ru 3.37
Ba  0.5000  0.7500  0.8750  8 Be 3.26, 4 Ru 3.37
Be  0.0000  0.0000  0.0000  2 Ru 2.23, 2 Be 2.38
Be  0.0000  0.5000  0.0000  2 Ru 2.23, 2 Be 2.38
Be  0.2500  0.2500  0.7500  2 Ru 2.23, 2 Be 2.38
Be  0.2500  0.7500  0.2500  2 Ru 2.23, 2 Be 2.38
Be  0.5000  0.0000  0.5000  2 Ru 2.23, 2 Be 2.38
Be  0.5000  0.5000  0.5000  2 Ru 2.23, 2 Be 2.38
Be  0.7500  0.2500  0.7500  2 Ru 2.23, 2 Be 2.38
Be  0.7500  0.7500  0.2500  2 Ru 2.23, 2 Be 2.38
Ru  0.0000  0.2500  0.8750  4 Be 2.23
Ru  0.0000  0.7500  0.1250  4 Be 2.23
Ru  0.5000  0.2500  0.6250  4 Be 2.23
Ru  0.5000  0.7500  0.3750  4 Be 2.23

ΔE to the lowest computed polymorph = 310 meV/atom
symmetry = I4_1/amd (141)
ΔE_f = 0.349 eV per atom
calculated volume = 342 Å³ per cell



Entry 7:
Compound: Ru3I
Source: Alexandria via LeMat-Bulk
Functional: PBE
Structure: relaxed

abc: 3.9779 3.9779 3.9779
angles: 90.00 90.00 90.00
With the nearest neighbours (Å) after each atom.
Fractional positions:
Ru  0.0000  0.0000  0.5000  8 Ru 2.81, 4 I 2.81
Ru  0.0000  0.5000  0.0000  8 Ru 2.81, 4 I 2.81
Ru  0.5000  0.0000  0.0000  8 Ru 2.81, 4 I 2.81
I  0.5000  0.5000  0.5000  12 Ru 2.81

formation energy without anion corrections = 0.9084 eV per atom
symmetry = Pm-3m (221)
calculated volume = 63 Å³ per cell



Entry 8:
Compound: Tb5InAg2
Source: Alexandria via LeMat-Bulk
Functional: PBE
Structure: relaxed

abc: 8.8166 8.8166 8.8166
angles: 125.31 125.31 81.03
With the nearest neighbours (Å) after each atom.
Fractional positions:
Tb  0.0000  0.0000  0.0000  4 Ag 3.16, 2 In 3.35
Tb  0.0058  0.5058  0.8110  3 Ag 3.08-3.15, 2 In 3.34, 1 Tb 3.45
Tb  0.1949  0.0058  0.5000  3 Ag 3.08-3.15, 2 In 3.34, 1 Tb 3.45
Tb  0.3051  0.8051  0.8110  3 Ag 3.08-3.15, 2 In 3.34, 1 Tb 3.45
Tb  0.4942  0.3051  0.5000  3 Ag 3.08-3.15, 2 In 3.34, 1 Tb 3.45
Tb  0.5000  0.5000  0.0000  4 Ag 3.16, 2 In 3.35
Tb  0.5058  0.6949  0.5000  3 Ag 3.08-3.15, 2 In 3.34, 1 Tb 3.45
Tb  0.6949  0.1949  0.1890  3 Ag 3.08-3.15, 2 In 3.34, 1 Tb 3.45
Tb  0.8051  0.9942  0.5000  3 Ag 3.08-3.15, 2 In 3.34, 1 Tb 3.45
Tb  0.9942  0.4942  0.1890  3 Ag 3.08-3.15, 2 In 3.34, 1 Tb 3.45
In  0.2500  0.2500  0.0000  10 Tb 3.34-3.35
In  0.7500  0.7500  0.0000  10 Tb 3.34-3.35
Ag  0.1329  0.3671  0.5000  1 Ag 3.04, 8 Tb 3.08-3.16
Ag  0.3671  0.8671  0.2343  1 Ag 3.04, 8 Tb 3.08-3.16
Ag  0.6329  0.1329  0.7657  1 Ag 3.04, 8 Tb 3.08-3.16
Ag  0.8671  0.6329  0.5000  1 Ag 3.04, 8 Tb 3.08-3.16

symmetry = I4/mcm (140)
ΔE_f = -0.252 eV per atom
calculated volume = 440 Å³ per cell



Entry 9:
Compound: Tb3Ho8Er4
Source: Alexandria via LeMat-Bulk
Functional: PBE
Structure: relaxed

abc: 9.1742 9.1742 6.6678
angles: 111.23 111.23 87.76
With the nearest neighbours (Å) after each atom.
Fractional positions:
Tb  0.0000  0.0000  0.0000  6 Ho 3.16-3.19
Tb  0.0000  0.5000  0.0000  4 Ho 3.19-3.31, 2 Er 3.33
Tb  0.5000  0.0000  0.0000  4 Ho 3.19-3.31, 2 Er 3.33
Ho  0.1413  0.8587  0.5000  7 Ho 3.56-3.64, 2 Er 3.58, 4 Tb 3.59-3.79
Ho  0.2316  0.2316  0.9630  3 Tb 3.19, 4 Ho 3.19-3.56, 2 Er 3.43-3.56
Ho  0.2364  0.2364  0.4893  4 Er 3.18-3.45, 1 Tb 3.19, 2 Ho 3.19-3.48
Ho  0.2484  0.7516  0.0000  3 Tb 3.16-3.31, 3 Er 3.20-3.31
Ho  0.7516  0.2484  0.0000  3 Tb 3.16-3.31, 3 Er 3.20-3.31
Ho  0.7636  0.7636  0.5107  4 Er 3.18-3.45, 1 Tb 3.19, 2 Ho 3.19-3.48
Ho  0.7684  0.7684  0.0370  3 Tb 3.19, 4 Ho 3.19-3.56, 2 Er 3.43-3.56
Ho  0.8587  0.1413  0.5000  7 Ho 3.56-3.64, 2 Er 3.58, 4 Tb 3.59-3.79
Er  0.0000  0.5000  0.5000  4 Ho 3.18-3.31, 2 Tb 3.33
Er  0.5000  0.0000  0.5000  4 Ho 3.18-3.31, 2 Tb 3.33
Er  0.5000  0.5000  0.0000  6 Ho 3.20-3.44, 2 Er 3.33
Er  0.5000  0.5000  0.5000  2 Er 3.33, 4 Ho 3.45-3.56

ΔE to the lowest computed polymorph = 256 meV/atom
symmetry = C2/m (12)
ΔE_f = 0.409 eV per atom
calculated volume = 485 Å³ per cell



Entry 10:
Compound: K4Pa3TiN8
Source: Alexandria via LeMat-Bulk
Functional: PBE
Structure: relaxed

abc: 7.5807 7.5807 7.5807
angles: 54.72 54.72 54.72
With the nearest neighbours (Å) after each atom.
Fractional positions:
K  0.0000  0.0000  0.0000  6 N 3.01
K  0.0000  0.5000  0.5000  6 N 2.93-2.94
K  0.5000  0.0000  0.5000  6 N 2.93-2.94
K  0.5000  0.5000  0.0000  6 N 2.93-2.94
Pa  0.0000  0.0000  0.5000  6 N 2.28-2.30
Pa  0.0000  0.5000  0.0000  6 N 2.28-2.30
Pa  0.5000  0.0000  0.0000  6 N 2.28-2.30
Ti  0.5000  0.5000  0.5000  6 N 2.20
N  0.2225  0.2225  0.2225  3 Pa 2.28
N  0.2324  0.7149  0.7149  1 Ti 2.20, 2 Pa 2.30
N  0.2851  0.2851  0.7676  1 Ti 2.20, 2 Pa 2.30
N  0.2851  0.7676  0.2851  1 Ti 2.20, 2 Pa 2.30
N  0.7149  0.2324  0.7149  1 Ti 2.20, 2 Pa 2.30
N  0.7149  0.7149  0.2324  1 Ti 2.20, 2 Pa 2.30
N  0.7676  0.2851  0.2851  1 Ti 2.20, 2 Pa 2.30
N  0.7775  0.7775  0.7775  3 Pa 2.28

formation energy without anion corrections = -0.9986 eV per atom
symmetry = R-3m (166)
calculated volume = 270 Å³ per cell



no.,theoretical density (g/cm³)
1,8.09
2,8.10
3,4.19
4,17.65
5,3.85
6,4.98
7,11.35
8,8.50
9,8.44
10,6.20